Record 1
# Ta2ZnBr, PBEsol geometry, DFT SCAN
# V in Å³/f.u.: 68.6
# E in eV per atom: -40.7212
# D(E_F) in states/eV per cell: 4.77
# Offset from the most stable computed form in eV per formula unit: 1.88
data_Ta2ZnBr
_chemical_formula_sum 'Ta2 Zn1 Br1'
_cell_length_a 5.201
_cell_length_b 5.201
_cell_length_c 5.201
_cell_angle_alpha 135.30
_cell_angle_beta 135.30
_cell_angle_gamma 65.07
_symmetry_space_group_name_H-M 'P 1'
_symmetry_Int_Tables_number 1
_symmetry_space_group_name_Hall 'P 1'
loop_
_atom_site_label
_atom_site_type_symbol
_atom_site_fract_x
_atom_site_fract_y
_atom_site_fract_z
Ta1 Ta 0.000 0.000 0.000
Ta2 Ta 0.750 0.250 0.500
Zn1 Zn 0.500 0.500 0.000
Br1 Br 0.250 0.750 0.500

Record 2
# TcHg2P, PBEsol geometry, DFT SCAN
# V in Å³/f.u.: 71.6
# E in eV per atom: -44.6340
# D(E_F) in states/eV per cell: 2.44
# Energy of formation in eV per atom: 0.814
data_TcHg2P
_chemical_formula_sum 'Tc1 Hg2 P1'
_cell_length_a 2.880
_cell_length_b 2.880
_cell_length_c 10.101
_cell_angle_alpha 90.00
_cell_angle_beta 90.00
_cell_angle_gamma 121.35
_symmetry_space_group_name_H-M 'P 1'
_symmetry_Int_Tables_number 1
_symmetry_space_group_name_Hall 'P 1'
loop_
_atom_site_label
_atom_site_type_symbol
_atom_site_fract_x
_atom_site_fract_y
_atom_site_fract_z
Tc1 Tc 0.000 0.000 0.000
Hg1 Hg 0.500 0.500 0.242
Hg2 Hg 0.500 0.500 0.758
P1 P 0.000 0.000 0.500

Record 3
# SeN2F2, PBEsol geometry, DFT SCAN
# V in Å³/f.u.: 51.9
# E in eV per atom: -7.1581
# D(E_F) in states/eV per cell: 1.48
data_SeN2F2
_chemical_formula_sum 'Se1 N2 F2'
_cell_length_a 3.512
_cell_length_b 3.512
_cell_length_c 4.204
_cell_angle_alpha 90.00
_cell_angle_beta 90.00
_cell_angle_gamma 90.00
_symmetry_space_group_name_H-M 'P 1'
_symmetry_Int_Tables_number 1
_symmetry_space_group_name_Hall 'P 1'
loop_
_atom_site_label
_atom_site_type_symbol
_atom_site_fract_x
_atom_site_fract_y
_atom_site_fract_z
Se1 Se 0.000 0.000 0.000
N1 N 0.000 0.500 0.500
N2 N 0.500 0.000 0.500
F1 F 0.500 0.500 0.000
F2 F 0.500 0.500 0.500

Record 4
# FeP2Br, PBEsol geometry, DFT SCAN
# V in Å³/f.u.: 72.7
# E in eV per atom: -13.9963
# D(E_F) in states/eV per cell: 3.46
# Offset from the most stable computed form in eV per formula unit: 1.59
data_FeP2Br
_chemical_formula_sum 'Fe1 P2 Br1'
_cell_length_a 3.394
_cell_length_b 3.394
_cell_length_c 6.311
_cell_angle_alpha 90.00
_cell_angle_beta 90.00
_cell_angle_gamma 90.00
_symmetry_space_group_name_H-M 'P 1'
_symmetry_Int_Tables_number 1
_symmetry_space_group_name_Hall 'P 1'
loop_
_atom_site_label
_atom_site_type_symbol
_atom_site_fract_x
_atom_site_fract_y
_atom_site_fract_z
Fe1 Fe 0.000 0.000 0.000
P1 P 0.000 0.500 0.500
P2 P 0.500 0.000 0.500
Br1 Br 0.500 0.500 0.000

Record 5
# ZrZn2Sb, PBEsol geometry, DFT SCAN
# V in Å³/f.u.: 75.5
# E in eV per atom: -23.8672
# D(E_F) in states/eV per cell: 2.32
data_ZrZn2Sb
_chemical_formula_sum 'Zr1 Zn2 Sb1'
_cell_length_a 3.660
_cell_length_b 3.660
_cell_length_c 5.639
_cell_angle_alpha 90.00
_cell_angle_beta 90.00
_cell_angle_gamma 90.00
_symmetry_space_group_name_H-M 'P 1'
_symmetry_Int_Tables_number 1
_symmetry_space_group_name_Hall 'P 1'
loop_
_atom_site_label
_atom_site_type_symbol
_atom_site_fract_x
_atom_site_fract_y
_atom_site_fract_z
Zr1 Zr 0.000 0.000 0.000
Zn1 Zn 0.500 0.500 0.241
Zn2 Zn 0.500 0.500 0.759
Sb1 Sb 0.000 0.000 0.500

Record 6
# Li3PtC, PBEsol geometry, DFT SCAN
# V in Å³/f.u.: 103.6
# E in eV per atom: -16.4897
# Energy of formation in eV per atom: 1.003
data_Li3PtC
_chemical_formula_sum 'Li3 Pt1 C1'
_cell_length_a 4.697
_cell_length_b 4.697
_cell_length_c 4.697
_cell_angle_alpha 90.00
_cell_angle_beta 90.00
_cell_angle_gamma 90.00
_symmetry_space_group_name_H-M 'P 1'
_symmetry_Int_Tables_number 1
_symmetry_space_group_name_Hall 'P 1'
loop_
_atom_site_label
_atom_site_type_symbol
_atom_site_fract_x
_atom_site_fract_y
_atom_site_fract_z
Li1 Li 0.000 0.000 0.500
Li2 Li 0.000 0.500 0.000
Li3 Li 0.500 0.000 0.000
Pt1 Pt 0.000 0.000 0.000
C1 C 0.500 0.500 0.500